# 1
{"formula": "Er3GaH", "functional": "PBE-GGA", "state": "optimized geometry", "de_polymorph_ev_per_atom": 0.0000, "cell": [[-1.2914, -1.1671, -3.0439], [5.7929, -4.4647, -0.7459], [-4.3605, -5.9984, 4.1500]], "species": ["H", "H", "Ga", "Ga", "Er", "Er", "Er", "Er", "Er", "Er"], "fractional_positions": [[0.7500, 0.1227, 0.5958], [0.2500, 0.8773, 0.4042], [0.7500, 0.6177, 0.7724], [0.2500, 0.3823, 0.2276], [0.2500, 0.3572, 0.6117], [0.7500, 0.0698, 0.3337], [0.7500, 0.2512, 0.9560], [0.7500, 0.6428, 0.3883], [0.2500, 0.7488, 0.0440], [0.2500, 0.9302, 0.6663]]}

=====

# 2
{"formula": "Er5Ga2H", "functional": "PBE-GGA", "state": "optimized geometry", "final_energy_ev_per_atom": -4.22, "cell": [[-6.1895, -2.4961, 0.9649], [2.3334, -6.2263, -1.1225], [2.7465, 3.9249, 4.2002]], "species": ["Er", "Er", "Er", "Er", "Er", "H", "Ga", "Ga"], "fractional_positions": [[0.2520, 0.2520, 0.0007], [0.2521, 0.7485, 0.0007], [0.7557, 0.7557, 0.5114], [0.7485, 0.2521, 0.0007], [0.7486, 0.7486, 0.0006], [0.0140, 0.0140, 0.0278], [0.7530, 0.2530, 0.5060], [0.2530, 0.7530, 0.5060]]}

=====

# 3
{"formula": "Er5Ga4H", "functional": "PBE-GGA", "state": "optimized geometry", "final_energy_ev_per_atom": -4.17, "cell": [[5.4965, 0.0000, 0.0000], [2.7482, 6.3154, 0.0000], [2.7482, 0.0000, 6.3154]], "species": ["Er", "Er", "Er", "Er", "Er", "H", "Ga", "Ga", "Ga", "Ga"], "fractional_positions": [[0.8671, 0.3652, 0.8909], [0.1231, 0.6348, 0.1091], [0.2322, 0.8909, 0.6348], [0.4861, 0.0000, 0.0000], [0.7580, 0.1091, 0.3652], [0.0611, 0.0000, 0.0000], [0.5529, 0.5877, 0.2978], [0.4384, 0.4123, 0.7022], [0.1406, 0.2978, 0.4123], [0.8507, 0.7022, 0.5877]]}

=====

# 4
{"formula": "Er4Ga2H", "functional": "PBE-GGA", "state": "optimized geometry", "de_polymorph_ev_per_atom": 0.0583, "cell": [[4.4274, 0.0000, 0.0000], [0.0000, 4.4274, 0.0000], [-2.2137, -2.2137, 7.9557]], "species": ["H", "Er", "Er", "Er", "Er", "Ga", "Ga"], "fractional_positions": [[0.0000, 0.0000, 0.0000], [0.1802, 0.1802, 0.3603], [0.8198, 0.8198, 0.6397], [0.0000, 0.5000, 0.0000], [0.5000, 0.0000, 0.0000], [0.6330, 0.6330, 0.2660], [0.3670, 0.3670, 0.7340]]}

=====

# 5
{"formula": "Er3Ga2H", "functional": "PBE-GGA", "state": "optimized geometry", "final_energy_ev_per_atom": -4.34, "cell": [[5.9708, 0.0000, 0.0000], [0.0000, 8.0742, 0.3954], [-2.9854, -1.5548, 5.2426]], "species": ["Er", "Er", "Er", "Er", "Er", "Er", "Ga", "Ga", "Ga", "Ga", "H", "H"], "fractional_positions": [[0.7254, 0.3471, 0.7048], [0.3740, 0.2500, 0.0000], [0.0205, 0.1529, 0.2952], [0.9795, 0.8471, 0.7048], [0.2746, 0.6529, 0.2952], [0.6260, 0.7500, 0.0000], [0.5229, 0.0110, 0.3124], [0.4771, 0.9890, 0.6876], [0.2104, 0.4890, 0.6876], [0.7896, 0.5110, 0.3124], [0.0222, 0.2500, 0.0000], [0.9778, 0.7500, 0.0000]]}

=====

# 6
{"formula": "Er4Ga2H", "functional": "PBE-GGA", "state": "optimized geometry", "de_polymorph_ev_per_atom": 0.0000, "cell": [[-3.9549, -4.4313, -0.9193], [2.8548, -1.3610, -5.7213], [6.9524, -2.9015, 4.1594]], "species": ["Ga", "Ga", "Ga", "Ga", "Er", "Er", "Er", "Er", "Er", "Er", "Er", "Er", "H", "H"], "fractional_positions": [[0.2358, 0.2500, 0.4268], [0.3076, 0.2500, 0.9578], [0.6924, 0.7500, 0.0422], [0.7642, 0.7500, 0.5732], [0.5232, 0.4990, 0.2648], [0.0962, 0.7500, 0.9198], [0.9038, 0.2500, 0.0802], [0.4768, 0.9990, 0.7352], [0.5232, 0.0010, 0.2648], [0.9254, 0.2500, 0.6259], [0.4768, 0.5010, 0.7352], [0.0746, 0.7500, 0.3741], [0.2631, 0.7500, 0.1956], [0.7369, 0.2500, 0.8044]]}

=====

# 7
{"formula": "Er12Ga3H5", "functional": "PBE-GGA", "state": "optimized geometry", "final_energy_ev_per_atom": -4.34, "cell": [[-6.5724, -1.4395, -11.2184], [-1.8514, -10.5412, 7.5218], [-4.3338, 10.6382, 6.2585]], "species": ["Er", "Er", "Er", "Er", "Er", "Er", "Er", "Er", "Er", "Er", "Er", "Er", "Er", "Er", "Er", "Er", "Er", "Er", "Er", "Er", "Er", "Er", "Er", "Er", "Er", "Er", "Er", "Er", "Er", "Er", "Er", "Er", "Er", "Er", "Er", "Er", "Er", "Er", "Er", "Er", "Er", "Er", "Er", "Er", "Er", "Er", "Er", "Er", "H", "H", "H", "H", "H", "H", "H", "H", "H", "H", "H", "H", "H", "H", "H", "H", "H", "H", "H", "H", "Ga", "Ga", "Ga", "Ga", "Ga", "Ga", "Ga", "Ga", "Ga", "Ga", "Ga", "Ga"], "fractional_positions": [[0.4052, 0.3860, 0.5961], [0.9052, 0.0961, 0.8860], [0.5961, 0.8860, 0.4052], [0.7899, 0.3092, 0.9039], [0.2899, 0.4039, 0.8092], [0.4052, 0.0193, 0.3092], [0.5961, 0.7101, 0.6908], [0.9807, 0.3860, 0.2899], [0.8092, 0.9052, 0.0193], [0.9039, 0.8092, 0.7899], [0.9039, 0.0948, 0.6140], [0.6908, 0.2101, 0.5961], [0.2899, 0.8860, 0.9807], [0.7899, 0.4807, 0.3860], [0.4807, 0.6908, 0.0948], [0.9052, 0.8092, 0.5193], [0.4807, 0.7899, 0.8860], [0.6908, 0.4807, 0.5948], [0.1140, 0.4039, 0.0948], [0.5193, 0.2101, 0.1140], [0.1908, 0.0948, 0.9807], [0.8092, 0.9039, 0.2899], [0.5948, 0.9807, 0.6908], [0.4039, 0.2899, 0.3092], [0.0948, 0.1908, 0.4807], [0.1140, 0.7101, 0.5193], [0.2101, 0.5193, 0.6140], [0.3860, 0.9807, 0.7899], [0.5948, 0.6140, 0.4039], [0.7101, 0.5961, 0.1908], [0.0961, 0.1908, 0.2101], [0.1908, 0.0961, 0.7101], [0.6140, 0.5948, 0.9039], [0.4039, 0.1140, 0.5948], [0.0948, 0.9039, 0.1140], [0.8860, 0.5961, 0.9052], [0.5193, 0.3092, 0.9052], [0.0193, 0.4052, 0.8092], [0.8860, 0.2899, 0.4807], [0.3092, 0.5193, 0.4052], [0.9807, 0.5948, 0.1908], [0.2101, 0.6908, 0.0961], [0.0961, 0.9052, 0.3860], [0.7101, 0.1140, 0.0193], [0.6140, 0.0193, 0.2101], [0.3860, 0.4052, 0.0961], [0.3092, 0.7899, 0.4039], [0.0193, 0.6140, 0.7101], [0.5000, 0.0000, 0.0000], [0.5000, 0.5000, 0.5000], [0.3750, 0.1250, 0.7500], [0.7500, 0.6250, 0.3750], [0.2500, 0.3750, 0.6250], [0.8750, 0.6250, 0.7500], [0.5000, 0.0000, 0.5000], [0.1250, 0.3750, 0.2500], [0.6250, 0.8750, 0.2500], [0.6250, 0.7500, 0.8750], [0.0000, 0.0000, 0.0000], [0.2500, 0.8750, 0.1250], [0.0000, 0.0000, 0.5000], [0.1250, 0.7500, 0.3750], [0.5000, 0.5000, 0.0000], [0.0000, 0.5000, 0.5000], [0.3750, 0.2500, 0.1250], [0.8750, 0.2500, 0.6250], [0.7500, 0.1250, 0.8750], [0.0000, 0.5000, 0.0000], [0.2500, 0.6250, 0.8750], [0.3750, 0.7500, 0.6250], [0.7500, 0.8750, 0.6250], [0.3750, 0.6250, 0.2500], [0.8750, 0.1250, 0.2500], [0.6250, 0.2500, 0.3750], [0.1250, 0.8750, 0.7500], [0.2500, 0.1250, 0.3750], [0.6250, 0.3750, 0.7500], [0.8750, 0.7500, 0.1250], [0.1250, 0.2500, 0.8750], [0.7500, 0.3750, 0.1250]]}

=====

# 8
{"formula": "Er2GaH", "functional": "PBE-GGA", "state": "optimized geometry", "de_polymorph_ev_per_atom": 0.1476, "cell": [[-3.3494, 0.7963, -0.9117], [-1.7621, -2.0757, -2.2957], [-4.1105, -4.3613, 4.3360]], "species": ["Er", "Er", "H", "Ga"], "fractional_positions": [[0.2315, 0.2315, 0.3054], [0.7685, 0.7685, 0.6946], [0.5000, 0.5000, 0.5000], [0.0000, 0.0000, 0.0000]]}

=====

# 9
{"formula": "ErGaNi2H", "functional": "PBE-GGA", "state": "optimized geometry", "final_energy_ev_per_atom": -5.05, "cell": [[3.6510, 0.0000, 0.0000], [-1.8255, 5.1365, 0.0000], [0.0000, 0.0000, 7.0174]], "species": ["H", "H", "Ni", "Ni", "Ni", "Ni", "Ga", "Ga", "Er", "Er"], "fractional_positions": [[0.0000, 0.0000, 0.0000], [0.0000, 0.0000, 0.5000], [0.8446, 0.6892, 0.0552], [0.1554, 0.3108, 0.5552], [0.1554, 0.3108, 0.9448], [0.8446, 0.6892, 0.4448], [0.2740, 0.5479, 0.2500], [0.7260, 0.4521, 0.7500], [0.5555, 0.1109, 0.2500], [0.4445, 0.8891, 0.7500]]}

=====

# 10
{"formula": "ErGaH2O4", "functional": "PBE-GGA", "state": "optimized geometry", "final_energy_ev_per_atom": -6.22, "cell": [[-3.5729, 1.3007, 2.5218], [-0.7873, -2.0494, 4.0690], [0.5786, 3.1776, 3.3083]], "species": ["O", "O", "O", "O", "Ga", "Er", "H", "H"], "fractional_positions": [[0.9802, 0.4432, 0.1666], [0.5900, 0.5568, 0.8334], [0.4100, 0.1666, 0.4432], [0.0198, 0.8334, 0.5568], [0.5000, 0.5000, 0.5000], [0.0000, 0.0000, 0.0000], [0.1884, 0.3116, 0.3116], [0.8116, 0.6884, 0.6884]]}

=====

# 11
{"formula": "Er2GaHPt6", "functional": "PBE-GGA", "state": "optimized geometry", "final_energy_ev_per_atom": -6.02, "cell": [[5.6056, 0.0164, 0.0176], [-0.0233, 6.9060, 0.9533], [2.7753, 4.0942, 4.9127]], "species": ["Ga", "Pt", "Pt", "Pt", "Pt", "Pt", "Pt", "Er", "Er", "H"], "fractional_positions": [[0.5000, 0.5000, 0.0000], [0.7304, 0.7681, 0.0383], [0.2313, 0.7681, 0.0383], [0.2314, 0.2687, 0.5372], [0.7687, 0.2319, 0.9617], [0.7686, 0.7313, 0.4628], [0.2696, 0.2319, 0.9617], [0.7865, 0.2132, 0.4271], [0.2135, 0.7868, 0.5729], [0.0000, 0.0000, 0.0000]]}

=====

# 12
{"formula": "ErHfGa4", "functional": "PBE-GGA", "state": "optimized geometry", "de_polymorph_ev_per_atom": 0.0000, "delta_e_f_mev_per_atom": -418, "cell": [[5.3571, 0.0000, 0.0000], [2.6786, 4.6394, 0.0000], [2.6786, 1.5465, 4.3741]], "species": ["Ga", "Ga", "Ga", "Ga", "Hf", "Er"], "fractional_positions": [[0.6253, 0.6253, 0.1242], [0.6253, 0.6253, 0.6253], [0.1242, 0.6253, 0.6253], [0.6253, 0.1242, 0.6253], [0.0000, 0.0000, 0.0000], [0.2500, 0.2500, 0.2500]]}